No. 1
A plane-wave DFT calculation with PBE was carried out for an optimized crystal structure of ZrBeCl3.

Cell lengths 4.521, 4.521, 4.521 Å; angles 90.00, 90.00, 90.00 degrees
Site moments in Bohr magnetons follow the coordinates.
Atoms (fractional coordinates):
Cl (0.000, 0.000, 0.500)  -0.01
Cl (0.000, 0.500, 0.000)  -0.02
Cl (0.500, 0.000, 0.000)  -0.02
Zr (0.500, 0.500, 0.500)  1.72
Be (0.000, 0.000, 0.000)  0.03

Values from the calculation:
- Raw total energy: -3.82 eV/atom
- Volume: 92.40 Å³/f.u.

---

No. 2
A plane-wave DFT calculation with PBE was carried out for an optimized crystal structure of Zr2BeCl.

Cell lengths 3.070, 3.070, 7.429 Å; angles 90.00, 90.00, 90.06 degrees
Atoms (fractional coordinates):
Cl (0.500, 0.500, 0.750)
Zr (0.000, 0.000, 0.471)
Zr (0.000, 0.000, 0.029)
Be (0.500, 0.500, 0.250)

Values from the calculation:
- Raw total energy: -5.99 eV/atom
- Volume: 70.00 Å³/f.u.

---

No. 3
A plane-wave DFT calculation with PBE was carried out for an optimized crystal structure of Zr2BeCl.

Cell lengths 4.710, 4.710, 4.710 Å; angles 60.00, 60.00, 60.00 degrees
Atoms (fractional coordinates):
Cl (0.750, 0.750, 0.750)
Be (0.500, 0.500, 0.500)
Zr (0.250, 0.250, 0.250)
Zr (0.000, 0.000, 0.000)

Values from the calculation:
- Raw total energy: -4.98 eV/atom
- Volume: 73.89 Å³/f.u.